Entry 1:
# PBE-GGA PRu2Br, optimized geometry
# DOS(E_F), states/eV per atom: 1.24
# ΔE to the lowest computed polymorph, eV/atom: 0.6846
# ΔE_f (raw), eV per atom: 0.58
data_PRu2Br
_chemical_formula_sum 'P1 Ru2 Br1'
_symmetry_space_group_name_H-M 'P 4/m m m'
_symmetry_Int_Tables_number 123
_symmetry_space_group_name_Hall '-P 4 2'
_cell_length_a 4.390
_cell_length_b 4.390
_cell_length_c 3.054
_cell_angle_alpha 90.00
_cell_angle_beta 90.00
_cell_angle_gamma 90.00
loop_
_atom_site_label
_atom_site_fract_x
_atom_site_fract_y
_atom_site_fract_z
P1 0.000 0.000 0.000
Ru1 0.000 0.500 0.500
Br1 0.500 0.500 0.000

Entry 2:
# PBE-GGA Sr6IrAu2, optimized geometry
# Energy of formation from the pure elements, kcal/mol of atoms: -9.9
# DOS(E_F), states/eV per atom: 0.50
data_Sr6IrAu2
_chemical_formula_sum 'Sr12 Ir2 Au4'
_symmetry_space_group_name_H-M 'P 1 21/c 1'
_symmetry_Int_Tables_number 14
_symmetry_space_group_name_Hall '-P 2ybc'
_cell_length_a 7.711
_cell_length_b 7.213
_cell_length_c 15.234
_cell_angle_alpha 90.00
_cell_angle_beta 120.40
_cell_angle_gamma 90.00
loop_
_atom_site_label
_atom_site_fract_x
_atom_site_fract_y
_atom_site_fract_z
Sr1 0.000 0.235 0.158
Sr2 0.316 0.736 0.658
Sr3 0.317 0.230 0.000
Ir1 0.000 0.000 0.000
Au1 0.324 0.000 0.824

Entry 3:
# PBE-GGA Sm2DyHgO, optimized geometry
# DOS(E_F), states/eV per atom: 0.38
# ΔE_f (raw), eV per atom: -1.37
data_Sm2DyHgO
_chemical_formula_sum 'Sm2 Dy1 Hg1 O1'
_symmetry_space_group_name_H-M 'P 4/m m m'
_symmetry_Int_Tables_number 123
_symmetry_space_group_name_Hall '-P 4 2'
_cell_length_a 4.889
_cell_length_b 4.889
_cell_length_c 4.763
_cell_angle_alpha 90.00
_cell_angle_beta 90.00
_cell_angle_gamma 90.00
loop_
_atom_site_label
_atom_site_fract_x
_atom_site_fract_y
_atom_site_fract_z
Sm1 0.000 0.500 0.000
Dy1 0.000 0.000 0.500
Hg1 0.500 0.500 0.500
O1 0.000 0.000 0.000

- Among the records above, which one has the highest DOS(E_F)?
  PRu2Br